First-principles (PBEsol) data for a relaxed K2I2ClO6 crystal, as listed in Alexandria via LeMat-Bulk.

Properties
- Energy relative to the elements, uncorrected: -0.81 eV/atom
- Total energy: -0.3223 Ry/atom

Lattice parameters (Å, degrees): 6.9024 7.7477 15.1464 90.00 90.00 90.00
Fractional positions:
1 K 0.9737 0.4619 0.9638
2 K 0.0263 0.9619 0.0362
3 K 0.9737 0.9619 0.5362
4 K 0.0263 0.4619 0.4638
5 K 0.4076 0.0179 0.2468
6 K 0.5924 0.5179 0.7532
7 K 0.4076 0.5179 0.2532
8 K 0.5924 0.0179 0.7468
9 I 0.0730 0.2744 0.7342
10 I 0.9270 0.7744 0.2658
11 I 0.0730 0.7744 0.7658
12 I 0.9270 0.2744 0.2342
13 I 0.5204 0.2473 0.0456
14 I 0.4796 0.7473 0.9544
15 I 0.5204 0.7473 0.4544
16 I 0.4796 0.2473 0.5456
17 Cl 0.6946 0.7163 0.1149
18 Cl 0.3054 0.2163 0.8851
19 Cl 0.6946 0.2163 0.3851
20 Cl 0.3054 0.7163 0.6149
21 O 0.9573 0.3003 0.6284
22 O 0.0427 0.8003 0.3716
23 O 0.9573 0.8003 0.8716
24 O 0.0427 0.3003 0.1284
25 O 0.8592 0.2594 0.8023
26 O 0.1408 0.7594 0.1977
27 O 0.8592 0.7594 0.6977
28 O 0.1408 0.2594 0.3023
29 O 0.1305 0.0183 0.7278
30 O 0.8695 0.5183 0.2722
31 O 0.1305 0.5183 0.7722
32 O 0.8695 0.0183 0.2278
33 O 0.7358 0.1763 0.9904
34 O 0.2642 0.6763 0.0096
35 O 0.7358 0.6763 0.5096
36 O 0.2642 0.1763 0.4904
37 O 0.6125 0.2869 0.1611
38 O 0.3875 0.7869 0.8389
39 O 0.6125 0.7869 0.3389
40 O 0.3875 0.2869 0.6611
41 O 0.4000 0.0427 0.0671
42 O 0.6000 0.5427 0.9329
43 O 0.4000 0.5427 0.4329
44 O 0.6000 0.0427 0.5671

First-principles (PBEsol) data for a relaxed LaI3Cl crystal, as listed in Alexandria via LeMat-Bulk.

Properties
- Energy relative to the elements, uncorrected: -0.83 eV/atom
- Total energy: -0.2470 Ry/atom

Lattice parameters (Å, degrees): 6.1725 6.1725 6.1725 90.00 90.00 90.00
Fractional positions:
1 I 0.0000 0.5000 0.0000
2 I 0.0000 0.0000 0.5000
3 I 0.5000 0.0000 0.0000
4 Cl 0.5000 0.5000 0.5000
5 La 0.0000 0.0000 0.0000

First-principles (PBEsol) data for a relaxed La2ICl2 crystal, as listed in Alexandria via LeMat-Bulk.

Properties
- Energy relative to the elements, uncorrected: -1.41 eV/atom
- Total energy: -0.3456 Ry/atom

Lattice parameters (Å, degrees): 4.5586 4.5586 7.6222 107.40 107.40 90.00
Fractional positions:
1 I 0.0000 0.0000 0.0000
2 Cl 0.2500 0.7500 0.5000
3 Cl 0.7500 0.2500 0.5000
4 La 0.3814 0.3814 0.7628
5 La 0.6186 0.6186 0.2372

First-principles (PBEsol) data for a relaxed La2ICl crystal, as listed in Alexandria via LeMat-Bulk.

Properties
- Energy relative to the elements, uncorrected: -1.13 eV/atom
- Total energy: -0.3488 Ry/atom

Lattice parameters (Å, degrees): 5.3197 5.3197 5.3197 60.00 60.00 60.00
Fractional positions:
1 I 0.5000 0.5000 0.5000
2 Cl 0.0000 0.0000 0.0000
3 La 0.2500 0.2500 0.2500
4 La 0.7500 0.7500 0.7500

First-principles (PBEsol) data for a relaxed LaZr2ICl crystal, as listed in Alexandria via LeMat-Bulk.

Properties
- Energy relative to the elements, uncorrected: -0.22 eV/atom
- Total energy: -0.4178 Ry/atom

Lattice parameters (Å, degrees): 4.7417 4.7417 5.5884 90.00 90.00 90.00
Fractional positions:
1 I 0.5000 0.5000 0.5000
2 Cl 0.0000 0.0000 0.0000
3 Zr 0.0000 0.5000 0.0000
4 Zr 0.5000 0.0000 0.0000
5 La 0.0000 0.0000 0.5000

First-principles (PBEsol) data for a relaxed LiTeI2Cl crystal, as listed in Alexandria via LeMat-Bulk.

Properties
- ΔE to the lowest computed polymorph: 90 meV/atom
- Energy relative to the elements, uncorrected: 0.10 eV/atom
- Total energy: -0.1545 Ry/atom

Lattice parameters (Å, degrees): 5.2906 5.7323 5.7323 90.00 90.00 90.00
Fractional positions:
1 I 0.0000 0.0000 0.5000
2 I 0.0000 0.5000 0.0000
3 Te 0.5000 0.0000 0.0000
4 Li 0.5000 0.5000 0.5000
5 Cl 0.0000 0.0000 0.0000

First-principles (PBEsol) data for a relaxed LiTeI2Cl crystal, as listed in Alexandria via LeMat-Bulk.

Properties
- ΔE to the lowest computed polymorph: 0 meV/atom
- Energy relative to the elements, uncorrected: 0.01 eV/atom
- Total energy: -0.1611 Ry/atom

Lattice parameters (Å, degrees): 5.1041 5.1041 5.1958 90.00 90.00 90.00
Fractional positions:
1 I 0.0000 0.5000 0.0000
2 I 0.5000 0.0000 0.0000
3 Te 0.0000 0.0000 0.5000
4 Li 0.0000 0.0000 0.0000
5 Cl 0.5000 0.5000 0.5000

First-principles (PBEsol) data for a relaxed MgPICl2 crystal, as listed in Alexandria via LeMat-Bulk.

Properties
- Energy relative to the elements, uncorrected: 0.41 eV/atom
- Total energy: -0.1654 Ry/atom

Lattice parameters (Å, degrees): 5.2264 5.3196 5.3196 90.00 90.00 90.00
Fractional positions:
1 I 0.0000 0.0000 0.0000
2 P 0.5000 0.0000 0.0000
3 Mg 0.5000 0.5000 0.5000
4 Cl 0.0000 0.0000 0.5000
5 Cl 0.0000 0.5000 0.0000

First-principles (PBEsol) data for a relaxed MgTeI2Cl crystal, as listed in Alexandria via LeMat-Bulk.

Properties
- Energy relative to the elements, uncorrected: -0.03 eV/atom
- Total energy: -0.1610 Ry/atom

Lattice parameters (Å, degrees): 5.4063 5.4063 5.5895 90.00 90.00 90.00
Fractional positions:
1 I 0.0000 0.5000 0.0000
2 I 0.5000 0.0000 0.0000
3 Mg 0.0000 0.0000 0.0000
4 Te 0.0000 0.0000 0.5000
5 Cl 0.5000 0.5000 0.5000

First-principles (PBEsol) data for a relaxed MnPbI2Cl crystal, as listed in Alexandria via LeMat-Bulk.

Properties
- Energy relative to the elements, uncorrected: -0.27 eV/atom
- Total energy: -0.3036 Ry/atom

Lattice parameters (Å, degrees): 4.6171 5.6748 5.6748 90.00 90.00 90.00
Fractional positions:
1 Pb 0.5000 0.5000 0.5000
2 I 0.0000 0.0000 0.5000
3 I 0.0000 0.5000 0.0000
4 Mn 0.0000 0.0000 0.0000
5 Cl 0.5000 0.0000 0.0000

First-principles (PBEsol) data for a relaxed MnTe2ICl crystal, as listed in Alexandria via LeMat-Bulk.

Properties
- Energy relative to the elements, uncorrected: 0.90 eV/atom
- Total energy: -0.2369 Ry/atom

Lattice parameters (Å, degrees): 5.2879 5.2879 5.5265 90.00 90.00 90.00
Fractional positions:
1 I 0.0000 0.0000 0.5000
2 Te 0.0000 0.5000 0.0000
3 Te 0.5000 0.0000 0.0000
4 Mn 0.5000 0.5000 0.5000
5 Cl 0.0000 0.0000 0.0000

First-principles (PBEsol) data for a relaxed MoIN2Cl crystal, as listed in Alexandria via LeMat-Bulk.

Properties
- Energy relative to the elements, uncorrected: 0.51 eV/atom
- Total energy: -0.4414 Ry/atom

Lattice parameters (Å, degrees): 3.9202 3.9202 5.6414 90.00 90.00 90.00
Fractional positions:
1 I 0.0000 0.0000 0.5000
2 Mo 0.0000 0.0000 0.0000
3 N 0.0000 0.5000 0.0000
4 N 0.5000 0.0000 0.0000
5 Cl 0.5000 0.5000 0.5000

Which of these has the highest total energy? number 6

Copy entry 9 word for word.
First-principles (PBEsol) data for a relaxed MgTeI2Cl crystal, as listed in Alexandria via LeMat-Bulk.

Properties
- Energy relative to the elements, uncorrected: -0.03 eV/atom
- Total energy: -0.1610 Ry/atom

Lattice parameters (Å, degrees): 5.4063 5.4063 5.5895 90.00 90.00 90.00
Fractional positions:
1 I 0.0000 0.5000 0.0000
2 I 0.5000 0.0000 0.0000
3 Mg 0.0000 0.0000 0.0000
4 Te 0.0000 0.0000 0.5000
5 Cl 0.5000 0.5000 0.5000

What did the twelfth record say?
First-principles (PBEsol) data for a relaxed MoIN2Cl crystal, as listed in Alexandria via LeMat-Bulk.

Properties
- Energy relative to the elements, uncorrected: 0.51 eV/atom
- Total energy: -0.4414 Ry/atom

Lattice parameters (Å, degrees): 3.9202 3.9202 5.6414 90.00 90.00 90.00
Fractional positions:
1 I 0.0000 0.0000 0.5000
2 Mo 0.0000 0.0000 0.0000
3 N 0.0000 0.5000 0.0000
4 N 0.5000 0.0000 0.0000
5 Cl 0.5000 0.5000 0.5000